# 1
Entry from Alexandria: an optimized crystal structure of AgBiC2S (PBE).

Cell lengths 4.495, 5.476, 4.495 Å; angles 90.00, 90.00, 90.00 degrees
Atoms (fractional coordinates):
C 0.000 0.000 0.500
C 0.500 0.000 0.000
S 0.000 0.500 0.000
Bi 0.000 0.000 0.000
Ag 0.500 0.500 0.500

**SG**: P4/mmm
**Mass density**: 5596 kg/m³
**Total moment**: 0.43 μB per atom
**DOS(E_F)**: 0.493 states/eV per atom
**Uncorrected formation energy**: 2396 meV/atom
**Crystal system**: tetragonal

=====

# 2
Entry from Alexandria: an optimized crystal structure of GaAgSnSe4 (PBE).

Cell lengths 6.951, 6.951, 6.951 Å; angles 128.98, 128.98, 75.04 degrees
Atoms (fractional coordinates):
Ga 0.500 0.500 0.000
Ag 0.250 0.750 0.500
Sn 0.750 0.250 0.500
Se 0.652 0.640 0.508
Se 0.132 0.144 0.492
Se 0.856 0.348 0.988
Se 0.360 0.868 0.012

**SG**: I-4
**Mass density**: 5144 kg/m³
**Total moment**: 0.00 μB per atom
**Uncorrected formation energy**: -410 meV/atom
**Crystal system**: tetragonal

=====

# 3
Entry from Alexandria: an optimized crystal structure of Ag2MoOs (PBE).

Cell lengths 7.473, 7.473, 5.877 Å; angles 50.52, 50.52, 90.00 degrees
Atoms (fractional coordinates):
Mo 0.500 0.500 0.000
Mo 0.250 0.750 0.500
Os 0.000 0.000 0.000
Os 0.750 0.250 0.500
Ag 0.632 0.125 0.250
Ag 0.118 0.625 0.250
Ag 0.375 0.368 0.750
Ag 0.875 0.882 0.750

**SG**: I-42d
**E above lowest polymorph**: 1102 meV/atom
**Mass density**: 11607 kg/m³
**Total moment**: 0.30 μB per atom
**DOS(E_F)**: 1.286 states/eV per atom
**Formation energy from the elements**: 1.344 eV/atom
**Crystal system**: tetragonal

=====

# 4
Entry from Alexandria: an optimized crystal structure of SmPuP (PBE).

Cell lengths 7.295, 10.753, 6.872 Å; angles 141.48, 90.00, 90.00 degrees
Atoms (fractional coordinates):
Sm 0.000 0.781 0.561
Sm 0.000 0.219 0.439
Sm 0.500 0.281 0.561
Sm 0.500 0.719 0.439
P 0.785 0.561 0.000
P 0.285 0.939 0.000
P 0.215 0.439 0.000
P 0.715 0.061 0.000
Pu 0.648 0.800 0.000
Pu 0.852 0.300 0.000
Pu 0.148 0.700 0.000
Pu 0.352 0.200 0.000

**SG**: Cmce
**Mass density**: 8415 kg/m³
**Total moment**: 2.18 μB per atom
**DOS(E_F)**: 3.337 states/eV per atom
**Formation energy from the elements**: -0.611 eV/atom
**Crystal system**: orthorhombic

=====

# 5
Entry from Alexandria: an optimized crystal structure of ZrMoC2 (PBE).

Cell lengths 4.164, 4.164, 4.164 Å; angles 60.00, 60.00, 60.00 degrees
Atoms (fractional coordinates):
Mo 0.500 0.500 0.500
C 0.000 0.000 0.000
C 0.250 0.250 0.250
Zr 0.750 0.750 0.750

**SG**: F-43m
**E above lowest polymorph**: 2424 meV/atom
**Mass density**: 6870 kg/m³
**Total moment**: 0.00 μB per atom
**DOS(E_F)**: 0.759 states/eV per atom
**Formation energy from the elements**: 2.063 eV/atom
**Crystal system**: cubic

=====

# 6
Entry from Alexandria: an optimized crystal structure of AcSmHg2 (PBE).

Cell lengths 3.898, 3.898, 7.928 Å; angles 90.00, 90.00, 90.00 degrees
Atoms (fractional coordinates):
Ac 0.500 0.500 0.500
Hg 0.000 0.000 0.777
Hg 0.000 0.000 0.223
Sm 0.500 0.500 0.000

**SG**: P4/mmm
**Mass density**: 10731 kg/m³
**Total moment**: 0.16 μB per atom
**DOS(E_F)**: 1.172 states/eV per atom
**Formation energy from the elements**: -0.462 eV/atom
**Crystal system**: tetragonal

=====

# 7
Entry from Alexandria: an optimized crystal structure of ScTaPdPt2 (PBE).

Cell lengths 4.952, 4.952, 4.568 Å; angles 90.00, 90.00, 90.00 degrees
Atoms (fractional coordinates):
Sc 0.500 0.500 0.500
Pd 0.000 0.000 0.000
Pt 0.000 0.500 0.000
Pt 0.500 0.000 0.000
Ta 0.000 0.000 0.500

**SG**: P4/mmm
**Mass density**: 10711 kg/m³
**Total moment**: 0.31 μB per atom
**DOS(E_F)**: 1.037 states/eV per atom
**Formation energy from the elements**: 0.733 eV/atom
**Crystal system**: tetragonal

=====

# 8
Entry from Alexandria: an optimized crystal structure of K3Mn2H7 (PBE).

Cell lengths 3.830, 3.830, 10.909 Å; angles 100.11, 100.11, 90.00 degrees
Atoms (fractional coordinates):
K 0.317 0.317 0.633
K 0.683 0.683 0.367
K 0.500 0.500 0.000
Mn 0.090 0.090 0.180
Mn 0.910 0.910 0.820
H 0.000 0.000 0.000
H 0.910 0.410 0.820
H 0.410 0.910 0.820
H 0.090 0.590 0.180
H 0.590 0.090 0.180
H 0.177 0.177 0.354
H 0.823 0.823 0.646

**SG**: I4/mmm
**Mass density**: 2509 kg/m³
**Total moment**: 0.62 μB per atom
**Total energy**: -3.783 eV per atom
**DOS(E_F)**: 0.341 states/eV per atom
**Crystal system**: tetragonal

=====

# 9
Entry from Alexandria: an optimized crystal structure of TlCuRe (PBE).

Cell lengths 4.308, 4.308, 4.308 Å; angles 60.00, 60.00, 60.00 degrees
Atoms (fractional coordinates):
Cu 0.750 0.750 0.750
Re 0.000 0.000 0.000
Tl 0.500 0.500 0.500

**SG**: F-43m
**E above lowest polymorph**: 416 meV/atom
**Mass density**: 13340 kg/m³
**Total moment**: 0.81 μB per atom
**DOS(E_F)**: 0.788 states/eV per atom
**Formation energy from the elements**: 1.203 eV/atom
**Crystal system**: cubic

=====

# 10
Entry from Alexandria: an optimized crystal structure of BaY2SiN4 (PBE).

Cell lengths 3.401, 6.349, 11.710 Å; angles 90.00, 90.00, 105.53 degrees
Atoms (fractional coordinates):
Ba 0.088 0.177 0.750
Ba 0.912 0.823 0.250
Y 0.368 0.736 0.540
Y 0.632 0.264 0.040
Y 0.632 0.264 0.460
Y 0.368 0.736 0.960
Si 0.814 0.628 0.750
Si 0.186 0.372 0.250
N 0.257 0.513 0.123
N 0.743 0.487 0.623
N 0.743 0.487 0.877
N 0.257 0.513 0.377
N 0.000 0.000 0.500
N 0.000 0.000 0.000
N 0.391 0.783 0.750
N 0.609 0.217 0.250

**SG**: Cmcm
**Mass density**: 5443 kg/m³
**Total moment**: 0.00 μB per atom
**Uncorrected formation energy**: -1292 meV/atom
**Crystal system**: orthorhombic

=====

# 11
Entry from Alexandria: an optimized crystal structure of Ho3BeO6 (PBE).

Cell lengths 5.028, 7.131, 7.131 Å; angles 101.87, 90.00, 90.00 degrees
Atoms (fractional coordinates):
Ho 0.482 0.927 0.695
Ho 0.982 0.695 0.927
Ho 0.428 0.387 0.613
Ho 0.928 0.613 0.387
Ho 0.982 0.073 0.305
Ho 0.482 0.305 0.073
Be 0.018 0.197 0.803
Be 0.518 0.803 0.197
O 0.209 0.674 0.646
O 0.709 0.646 0.674
O 0.172 0.405 0.888
O 0.672 0.888 0.405
O 0.117 0.045 0.955
O 0.694 0.215 0.785
O 0.194 0.785 0.215
O 0.617 0.955 0.045
O 0.172 0.112 0.595
O 0.672 0.595 0.112
O 0.209 0.354 0.326
O 0.709 0.326 0.354

**SG**: Cmc2_1
**Mass density**: 7961 kg/m³
**Total moment**: 0.11 μB per atom
**DOS(E_F)**: 0.306 states/eV per atom
**Uncorrected formation energy**: -3145 meV/atom
**Crystal system**: orthorhombic

=====

# 12
Entry from Alexandria: an optimized crystal structure of Hf2GaAu (PBE).

Cell lengths 7.486, 7.486, 6.072 Å; angles 51.95, 51.95, 90.00 degrees
Atoms (fractional coordinates):
Hf 0.629 0.125 0.250
Hf 0.121 0.625 0.250
Hf 0.375 0.371 0.750
Hf 0.875 0.879 0.750
Au 0.000 0.000 0.000
Au 0.750 0.250 0.500
Ga 0.500 0.500 0.000
Ga 0.250 0.750 0.500

**SG**: I-42d
**Mass density**: 12422 kg/m³
**Total moment**: 0.00 μB per atom
**DOS(E_F)**: 0.850 states/eV per atom
**Formation energy from the elements**: -0.061 eV/atom
**Crystal system**: tetragonal

=====

> What is the formula in the second record?

GaAgSnSe4

=====

> Which formula does entry 10 have?

BaY2SiN4